## CoPO3 (PBE with a Hubbard U)

Data for crystalline CoPO3 at its relaxed geometry.

a = 3.6206 Å, b = 3.6206 Å, c = 3.6206 Å
α = 90.00°, β = 90.00°, γ = 90.00°
Space group Pm-3m (No. 221)
One atom of each set of equivalent atoms:
1 Co 0.0000 0.0000 0.0000 [1 per cell]
2 P 0.5000 0.5000 0.5000 [1 per cell]
3 O 0.0000 0.0000 0.5000 [3 per cell]

Summary:
* DFT total energy: -5.076 eV/atom
* N(E_F): 0.051 states/eV per atom
* M_tot: 0.00 μB per formula unit